(1)
A relaxed structure of FeP2, computed with GGA-PBE.

abc: 5.702 5.702 4.434
angles: 90.00 90.00 149.47
Fractional positions:
Fe (0.875, 0.125, 0.250)
Fe (0.125, 0.875, 0.750)
P (0.545, 0.455, 0.250)
P (0.455, 0.545, 0.750)
P (0.217, 0.783, 0.250)
P (0.783, 0.217, 0.750)

Summary:
- ΔE_f (eV/atom) = 0.116
- raw total energy (eV per atom) = -6.3113
- volume (A^3/atom) = 12.21
- crystal system = orthorhombic
- total magnetic moment (μB/f.u.) = 0.7

=====

(2)
A relaxed structure of Er3Pu2S6, computed with GGA-PBE.

abc: 6.758 6.760 6.811
angles: 80.49 70.70 60.01
Fractional positions:
Er (0.000, 0.000, 0.000)
Er (0.336, 0.328, 0.000)
Er (0.664, 0.672, 0.000)
Pu (0.167, 0.666, 0.500)
Pu (0.833, 0.334, 0.500)
S (0.413, 0.665, 0.760)
S (0.749, 0.000, 0.757)
S (0.078, 0.335, 0.760)
S (0.251, 0.000, 0.243)
S (0.587, 0.335, 0.240)
S (0.922, 0.665, 0.240)

Summary:
- raw total energy (eV per atom) = -8.0432
- volume (A^3/atom) = 23.12
- crystal system = monoclinic
- total magnetic moment (μB/f.u.) = 11.5

=====

(3)
A relaxed structure of Na2GeCl4, computed with GGA-PBE.

abc: 6.795 6.795 7.148
angles: 118.38 118.38 90.00
Fractional positions:
Na (0.750, 0.250, 0.500)
Na (0.250, 0.750, 0.500)
Ge (0.500, 0.500, 0.000)
Cl (0.854, 0.403, 0.258)
Cl (0.403, 0.854, 0.258)
Cl (0.597, 0.597, 0.742)
Cl (0.146, 0.146, 0.742)

Summary:
- raw total energy (eV per atom) = -3.3688
- volume (A^3/atom) = 34.90
- crystal system = tetragonal
- total magnetic moment (μB/f.u.) = 0.0

=====

(4)
A relaxed structure of Ho2CdAg5, computed with GGA-PBE.

abc: 5.047 5.047 7.541
angles: 109.55 109.55 90.00
Fractional positions:
Ho (0.746, 0.746, 0.493)
Ho (0.254, 0.254, 0.507)
Cd (0.000, 0.000, 0.000)
Ag (0.500, 0.500, 0.000)
Ag (0.885, 0.385, 0.769)
Ag (0.385, 0.885, 0.769)
Ag (0.115, 0.615, 0.231)
Ag (0.615, 0.115, 0.231)

Summary:
- ΔE_f (eV/atom) = -0.188
- raw total energy (eV per atom) = -3.2289
- volume (A^3/atom) = 21.15
- crystal system = tetragonal
- total magnetic moment (μB/f.u.) = 0.0